Record 1
Here is crystalline Ac8Pm5Dy at its relaxed geometry from Alexandria via LeMat-Bulk. Energies are from PBE.

Calculated values
size of the total moment = 0.00 μB per formula unit

a = 7.5993 Å, b = 9.2175 Å, c = 9.5144 Å
α = 113.96°, β = 101.54°, γ = 102.04°
Last column: nearest neighbours and their distance in Å.
Fractional coordinates of all 14 atoms:
Ac: 0.0000 0.0000 0.0000  8 Ac 3.78-4.09, 5 Pm 3.85-4.14
Ac: 0.0761 0.7229 0.5854  6 Pm 3.48-3.81, 1 Dy 3.70
Ac: 0.3002 0.8841 0.3130  7 Ac 3.80-4.07, 5 Pm 3.89-4.08, 1 Dy 4.04
Ac: 0.3963 0.4349 0.1595  6 Pm 3.53-3.86, 1 Dy 3.78
Ac: 0.5024 0.0014 0.9979  8 Ac 3.78-4.11, 1 Dy 3.82, 4 Pm 3.92-4.14
Ac: 0.6019 0.5493 0.8521  6 Pm 3.54-3.95, 2 Ac 3.77-3.93, 1 Dy 3.86
Ac: 0.7233 0.1489 0.7235  5 Pm 3.46-3.83, 1 Dy 3.61, 1 Ac 3.77
Ac: 0.8000 0.8826 0.3139  8 Ac 3.80-4.07, 4 Pm 3.91-4.07, 1 Dy 4.06
Pm: 0.1034 0.5459 0.8600  6 Ac 3.59-3.89, 3 Pm 3.68-3.87, 1 Dy 3.91
Pm: 0.1919 0.3246 0.4529  4 Pm 3.52-3.85, 4 Ac 3.72-3.85, 2 Dy 3.77-3.83
Pm: 0.2204 0.1541 0.7245  5 Ac 3.48-3.83, 2 Pm 3.52-3.68
Pm: 0.5746 0.7189 0.5780  5 Ac 3.46-3.81, 1 Dy 3.70, 1 Pm 3.71
Pm: 0.8988 0.4344 0.1582  7 Ac 3.60-3.97, 1 Dy 3.77, 2 Pm 3.82-3.87
Dy: 0.6939 0.3248 0.4459  6 Ac 3.61-4.04, 5 Pm 3.70-3.91

Record 2
Here is crystalline AcPm12Dy5 at its relaxed geometry from Alexandria via LeMat-Bulk. Energies are from PBE.

Calculated values
size of the total moment = 0.00 μB per formula unit

a = 10.5331 Å, b = 10.5331 Å, c = 6.0587 Å
α = 90.26°, β = 90.26°, γ = 113.46°
Last column: nearest neighbours and their distance in Å.
Fractional coordinates of all 18 atoms:
Ac: 0.0000 0.0000 0.0000  8 Pm 3.51-3.80
Pm: 0.0172 0.3507 0.9384  5 Pm 3.39-3.74, 3 Dy 3.39-3.67, 1 Ac 3.65
Pm: 0.1590 0.4916 0.4424  3 Dy 3.37-3.57, 5 Pm 3.43-3.74
Pm: 0.1768 0.1768 0.5319  6 Pm 3.44-3.83, 2 Ac 3.51-3.80, 3 Dy 3.62-3.74
Pm: 0.3401 0.3401 0.0302  4 Dy 3.38-3.72, 5 Pm 3.49-3.72
Pm: 0.3507 0.0172 0.9384  5 Pm 3.39-3.74, 3 Dy 3.39-3.67, 1 Ac 3.65
Pm: 0.4916 0.1590 0.4424  3 Dy 3.37-3.57, 5 Pm 3.43-3.74
Pm: 0.5084 0.8410 0.5576  3 Dy 3.37-3.57, 5 Pm 3.43-3.74
Pm: 0.6493 0.9828 0.0616  5 Pm 3.39-3.74, 3 Dy 3.39-3.67, 1 Ac 3.65
Pm: 0.6599 0.6599 0.9698  4 Dy 3.38-3.72, 5 Pm 3.49-3.72
Pm: 0.8232 0.8232 0.4681  6 Pm 3.44-3.83, 2 Ac 3.51-3.80, 3 Dy 3.62-3.74
Pm: 0.8410 0.5084 0.5576  3 Dy 3.37-3.57, 5 Pm 3.43-3.74
Pm: 0.9828 0.6493 0.0616  5 Pm 3.39-3.74, 3 Dy 3.39-3.67, 1 Ac 3.65
Dy: 0.1695 0.8305 0.5000  8 Pm 3.39-3.78
Dy: 0.3240 0.6760 0.0000  8 Pm 3.37-3.67
Dy: 0.5000 0.5000 0.5000  10 Pm 3.38-3.74
Dy: 0.6760 0.3240 0.0000  8 Pm 3.37-3.67
Dy: 0.8305 0.1695 0.5000  8 Pm 3.39-3.78

| no. | uncorrected energy (eV/atom) |
| --- | --- |
| 1 | -4.312 |
| 2 | -4.558 |